{"formula": "LiMgBe2Sn", "functional": "PBE", "state": "relaxed", "lattice": [[4.289, 0.000, 0.000], [0.000, 4.289, 0.000], [0.000, 0.000, 4.669]], "species": ["Li", "Mg", "Be", "Be", "Sn"], "fractional_positions": [[0.000, 0.000, 0.000], [0.500, 0.500, 0.500], [0.000, 0.500, 0.000], [0.500, 0.000, 0.000], [0.000, 0.000, 0.500]], "volume_a3_per_fu": 86, "spacegroup": "No. 123", "ef_kj_per_mol_atoms": 69.2, "final_energy_ev_per_atom": -2.28}